Compound: Ho3S2NO
Source: the Open Quantum Materials Database
Functional: GGA-PBE
Structure: optimized geometry

Cell: 7.7526 7.7526 9.4326 Å, 98.88 98.88 28.34°
Element x y z (fractional)
S1 0.3667 0.3667 0.5279
Ho1 0.6112 0.6112 0.9452
S2 0.6333 0.6333 0.4721
N1 0.9034 0.9034 0.1934
O1 0.4610 0.4610 0.8602
Ho2 0.8015 0.8015 0.3285
S3 0.2140 0.2140 0.1529
Ho3 0.1985 0.1985 0.6715
Ho4 0.3888 0.3888 0.0548
Ho5 0.0505 0.0505 0.2645
S4 0.7860 0.7860 0.8471
N2 0.0966 0.0966 0.8066
Ho6 0.9495 0.9495 0.7355
O2 0.5390 0.5390 0.1398

## Properties
symmetry: C2/m, No. 12
mass density: 7.36 g/cm3
total energy: -104.198 eV for the cell shown


Compound: HoSbN2O
Source: the Open Quantum Materials Database
Functional: GGA-PBE
Structure: optimized geometry

Cell: 5.6729 5.6729 5.6729 Å, 88.10 121.52 120.68°
Element x y z (fractional)
N1 0.7127 0.3924 0.1765
Sb1 0.7149 0.7149 0.0000
Ho1 0.2429 0.9603 0.7825
Sb2 0.7149 0.2149 0.5000
Ho2 0.1778 0.4603 0.2175
O1 0.6058 0.4768 0.6289
N2 0.7127 0.0362 0.8203
N3 0.2159 0.5362 0.8235
N4 0.2159 0.8924 0.1797
O2 0.8479 0.9768 0.3711

## Properties
symmetry: Ima2, No. 46
mass density: 8.66 g/cm3
total energy: -69.919 eV for the cell shown


Compound: HoSbN2O
Source: the Open Quantum Materials Database
Functional: GGA-PBE
Structure: optimized geometry

Cell: 5.7352 5.7352 14.0341 Å, 90.00 90.00 120.00°
Element x y z (fractional)
N1 0.1482 0.2963 0.3993
O1 0.9938 0.4969 0.2500
Ho1 0.3333 0.6667 0.6294
Sb1 0.0000 0.0000 0.0000
Sb2 0.6667 0.3333 0.8596
N2 0.2963 0.1482 0.8993
O2 0.4969 0.9937 0.7500
Sb3 0.0000 0.0000 0.5000
Sb4 0.3333 0.6667 0.1404
N3 0.8518 0.7037 0.8993
O3 0.4969 0.5031 0.7500
Sb5 0.6667 0.3333 0.6404
Ho2 0.3333 0.6667 0.8706
N4 0.7037 0.8518 0.1007
N5 0.8518 0.1482 0.8993
O4 0.5031 0.4969 0.2500
N6 0.2963 0.1482 0.6007
N7 0.8518 0.1482 0.6007
Sb6 0.3333 0.6667 0.3596
Ho3 0.0000 0.0000 0.2500
O5 0.0063 0.5031 0.7500
Ho4 0.0000 0.0000 0.7500
Ho5 0.6667 0.3333 0.3706
N8 0.1482 0.8518 0.1007
N9 0.1482 0.8518 0.3993
N10 0.7037 0.8518 0.3993
Ho6 0.6667 0.3333 0.1294
N11 0.8518 0.7037 0.6007
O6 0.5031 0.0063 0.2500
N12 0.1482 0.2963 0.1007

## Properties
symmetry: P6_3/mmc, No. 194
mass density: 8.24 g/cm3
total energy: -199.131 eV for the cell shown


Compound: HoSbN2O
Source: the Open Quantum Materials Database
Functional: GGA-PBE
Structure: optimized geometry

Cell: 3.6626 3.7121 5.0909 Å, 90.00 90.02 90.00°
Element x y z (fractional)
N1 0.0002 0.5000 0.4052
Sb1 0.5003 0.5000 0.5734
Ho1 0.0002 0.0000 0.1214
N2 0.5002 0.5000 0.9598
O1 0.5002 0.0000 0.4005

## Properties
symmetry: Pmm2, No. 25
mass density: 7.93 g/cm3
total energy: -34.579 eV for the cell shown


Compound: HoSbNO
Source: the Open Quantum Materials Database
Functional: GGA-PBE
Structure: optimized geometry

Cell: 4.4581 4.4581 7.2879 Å, 90.00 90.00 90.00°
Element x y z (fractional)
Sb1 0.0000 0.0000 0.5000
Ho1 0.5000 0.0000 0.8919
N1 0.0000 0.5000 0.4136
Sb2 0.5000 0.5000 0.5000
O1 0.5000 0.5000 0.0000
N2 0.5000 0.0000 0.5864
Ho2 0.0000 0.5000 0.1081
O2 0.0000 0.0000 0.0000

## Properties
symmetry: P4/nmm, No. 129
mass density: 7.26 g/cm3
excess energy over the best structure of this formula in the dataset: 0.47 eV/f.u.


Compound: HoSbN2O
Source: the Open Quantum Materials Database
Functional: GGA-PBE
Structure: optimized geometry

Cell: 5.6726 3.8830 5.7841 Å, 90.00 90.00 90.00°
Element x y z (fractional)
N1 0.7500 0.0000 0.8245
Sb1 0.7500 0.5000 0.7358
Ho1 0.7500 0.0000 0.2156
Ho2 0.2500 0.0000 0.7844
N2 0.0000 0.5000 0.5000
N3 0.5000 0.5000 0.5000
Sb2 0.2500 0.5000 0.2642
N4 0.2500 0.0000 0.1755
O1 0.5000 0.5000 0.0000
O2 0.0000 0.5000 0.0000

## Properties
symmetry: Pmma, No. 51
mass density: 8.62 g/cm3
total energy: -67.458 eV for the cell shown


Compound: HoSbN2O
Source: the Open Quantum Materials Database
Functional: GGA-PBE
Structure: optimized geometry

Cell: 7.8598 7.9924 8.0100 Å, 89.77 89.95 87.96°
Element x y z (fractional)
Ho1 0.4530 0.4658 0.2573
N1 0.4749 0.1869 0.0493
Ho2 0.0174 0.5173 0.7451
N2 0.8099 0.2050 0.2480
N3 0.4746 0.8147 0.9527
N4 0.1395 0.7951 0.7518
N5 0.6700 0.5022 0.0706
Ho3 0.9930 0.0500 0.7551
Sb1 0.2210 0.7643 0.5100
Ho4 0.5096 0.0235 0.7556
N6 0.4753 0.2047 0.4369
Sb2 0.2174 0.2433 0.4839
O1 0.2778 0.4981 0.5541
N7 0.9715 0.2964 0.9317
O2 0.7771 0.9978 0.9434
N8 0.7604 0.6568 0.7517
Sb3 0.7235 0.2571 0.0105
Sb4 0.2233 0.2626 0.0081
N9 0.7736 0.9984 0.5774
O3 0.1722 0.0027 0.0567
N10 0.1755 0.0016 0.4224
O4 0.3040 0.7170 0.2517
N11 0.2799 0.4980 0.9290
Sb5 0.7318 0.7565 0.5159
N12 0.9713 0.3055 0.5613
Ho5 0.9562 0.9497 0.2447
O5 0.2599 0.1757 0.7457
Sb6 0.2261 0.7433 0.9892
Ho6 0.4402 0.9763 0.2439
Sb7 0.7284 0.2357 0.4897
Ho7 0.4964 0.5332 0.7422
N13 0.1884 0.3430 0.2482
N14 0.9780 0.6945 0.4387
Sb8 0.7260 0.7376 0.9915
O6 0.6891 0.8247 0.2548
N15 0.4744 0.7942 0.5639
Ho8 0.9316 0.4827 0.2548
O7 0.6714 0.5017 0.4462
O8 0.6451 0.2829 0.7486
N16 0.9779 0.7035 0.0681

## Properties
symmetry: P1, No. 1
mass density: 8.74 g/cm3
total energy: -282.185 eV for the cell shown


Compound: HoSbN2O
Source: the Open Quantum Materials Database
Functional: GGA-PBE
Structure: optimized geometry

Cell: 5.6705 8.0982 5.4578 Å, 90.00 90.00 90.00°
Element x y z (fractional)
Sb1 0.5000 0.5000 0.5000
N1 0.1995 0.0636 0.3042
N2 0.8005 0.9364 0.6958
O1 0.9578 0.7500 0.1232
Ho1 0.0625 0.7500 0.5268
Ho2 0.5625 0.7500 0.9732
O2 0.5422 0.2500 0.6232
N3 0.3005 0.5636 0.8042
Sb2 0.0000 0.0000 0.0000
N4 0.8005 0.5636 0.6958
O3 0.0422 0.2500 0.8768
Sb3 0.5000 0.0000 0.5000
N5 0.1995 0.4364 0.3042
N6 0.6995 0.4364 0.1958
N7 0.6995 0.0636 0.1958
Sb4 0.0000 0.5000 0.0000
N8 0.3005 0.9364 0.8042
Ho3 0.4375 0.2500 0.0268
O4 0.4578 0.7500 0.3768
Ho4 0.9375 0.2500 0.4732

## Properties
symmetry: Pnma, No. 62
mass density: 8.76 g/cm3
total energy: -141.096 eV for the cell shown


Compound: HoSbN2O
Source: the Open Quantum Materials Database
Functional: GGA-PBE
Structure: optimized geometry

Cell: 6.4505 6.4505 11.9561 Å, 90.00 90.00 120.00°
Element x y z (fractional)
N1 0.0000 0.3122 0.1630
O1 0.6667 0.3333 0.5220
N2 0.3556 0.0000 0.8397
O2 0.3333 0.6667 0.5220
N3 0.0000 0.6444 0.3397
Ho1 0.3333 0.6667 0.2385
Ho2 0.6667 0.3333 0.7385
N4 0.6878 0.6878 0.1630
Sb1 0.0000 0.6664 0.5010
Sb2 0.3336 0.3336 0.5010
Ho3 0.6667 0.3333 0.2385
N5 0.3122 0.3122 0.6630
Ho4 0.0000 0.0000 0.2665
Ho5 0.3333 0.6667 0.7385
N6 0.3122 0.0000 0.1630
Sb3 0.3336 0.0000 0.0010
N7 0.0000 0.6878 0.6630
N8 0.6444 0.0000 0.3397
Ho6 0.0000 0.0000 0.7665
O3 0.0000 0.0000 0.9752
N9 0.3556 0.3556 0.3397
Sb4 0.6664 0.6664 0.0010
N10 0.0000 0.3556 0.8397
O4 0.3333 0.6667 0.0220
N11 0.6444 0.6444 0.8397
Sb5 0.6664 0.0000 0.5010
Sb6 0.0000 0.3336 0.0010
N12 0.6878 0.0000 0.6630
O5 0.6667 0.3333 0.0220
O6 0.0000 0.0000 0.4752

## Properties
symmetry: P6_3cm, No. 185
mass density: 7.65 g/cm3
total energy: -206.816 eV for the cell shown


Compound: HoSbN2O
Source: the Open Quantum Materials Database
Functional: GGA-PBE
Structure: optimized geometry

Cell: 8.0586 7.7599 11.2252 Å, 90.00 133.83 90.00°
Element x y z (fractional)
Ho1 0.8448 0.9879 0.7824
Ho2 0.1552 0.0121 0.2176
Ho3 0.2266 0.5028 0.2374
N1 0.5982 0.2101 0.6049
Ho4 0.1552 0.4879 0.7176
N2 0.4018 0.7899 0.3951
N3 0.2660 0.9957 0.9666
O1 0.9489 0.7374 0.7410
Sb1 0.2866 0.2508 0.5257
O2 0.0474 0.8042 0.0345
O3 0.9526 0.3042 0.4655
Ho5 0.7734 0.4972 0.7626
N4 0.3983 0.2289 0.2535
Sb2 0.2897 0.7396 0.0129
O4 0.9489 0.7626 0.2410
N5 0.6017 0.7289 0.2465
N6 0.3983 0.2711 0.7535
O5 0.0511 0.2374 0.7590
N7 0.1658 0.4958 0.9773
Sb3 0.7134 0.7492 0.4743
N8 0.5982 0.2899 0.1049
O6 0.0474 0.6958 0.5345
N9 0.8342 0.9958 0.5227
N10 0.4018 0.7101 0.8951
Sb4 0.2866 0.2492 0.0257
O7 0.0511 0.2626 0.2590
N11 0.8342 0.5042 0.0227
N12 0.6017 0.7711 0.7465
N13 0.7340 0.0043 0.0334
N14 0.1658 0.0042 0.4773
Sb5 0.7103 0.2604 0.9871
Ho6 0.7734 0.0028 0.2626
Sb6 0.7103 0.2396 0.4871
N15 0.7340 0.4957 0.5334
Sb7 0.7134 0.7508 0.9743
Ho7 0.8448 0.5121 0.2824
N16 0.2660 0.5043 0.4666
Ho8 0.2266 0.9972 0.7374
Sb8 0.2897 0.7604 0.5129
O8 0.9526 0.1958 0.9655

## Properties
symmetry: P2_1/c, No. 14
mass density: 8.68 g/cm3
total energy: -280.395 eV for the cell shown


Compound: HoSbN2O
Source: the Open Quantum Materials Database
Functional: GGA-PBE
Structure: optimized geometry

Cell: 8.0238 7.8052 11.1289 Å, 90.00 133.90 90.00°
Element x y z (fractional)
Ho1 0.9397 0.7604 0.4632
Sb1 0.5211 0.0052 0.7576
O1 0.7000 0.9444 0.1978
Ho2 0.0603 0.2604 0.0368
N1 0.0487 0.7506 0.2158
Ho3 0.5589 0.2508 0.5249
N2 0.0487 0.7494 0.7158
O2 0.1853 0.9577 0.5020
Ho4 0.0603 0.2396 0.5368
Sb2 0.9970 0.5042 0.2577
N3 0.5507 0.7548 0.8328
N4 0.6897 0.5611 0.1869
N5 0.4493 0.2548 0.6672
N6 0.3103 0.0611 0.3131
N7 0.5507 0.7452 0.3328
Ho5 0.4411 0.7492 0.4751
N8 0.9513 0.2494 0.7842
Sb3 0.4789 0.5052 0.7424
O3 0.8147 0.4577 0.9980
Sb4 0.5211 0.4948 0.2576
Sb5 0.0030 0.4958 0.7423
N9 0.3103 0.4389 0.8131
N10 0.4493 0.2452 0.1672
Sb6 0.9970 0.9958 0.7577
Sb7 0.0030 0.0042 0.2423
O4 0.3000 0.0556 0.8022
N11 0.7968 0.4244 0.4980
Ho6 0.9397 0.7396 0.9632
Ho7 0.4411 0.7508 0.9751
O5 0.1853 0.5423 0.0020
Sb8 0.4789 0.9948 0.2424
N12 0.2032 0.9244 0.0020
O6 0.3000 0.4444 0.3022
N13 0.7968 0.0756 0.9980
N14 0.2032 0.5756 0.5020
N15 0.9513 0.2506 0.2842
N16 0.6897 0.9389 0.6869
O7 0.7000 0.5556 0.6978
O8 0.8147 0.0423 0.4980
Ho8 0.5589 0.2492 0.0249

## Properties
symmetry: P2_1/c, No. 14
mass density: 8.75 g/cm3
total energy: -282.014 eV for the cell shown


Compound: HoSbN2O
Source: the Open Quantum Materials Database
Functional: GGA-PBE
Structure: optimized geometry

Cell: 4.0129 4.0129 3.9203 Å, 90.00 90.00 90.00°
Element x y z (fractional)
O1 0.5000 0.5000 0.0000
N1 0.5000 0.0000 0.5000
N2 0.0000 0.5000 0.5000
Ho1 0.0000 0.0000 0.0000
Sb1 0.5000 0.5000 0.5000

## Properties
symmetry: P4/mmm, No. 123
mass density: 8.70 g/cm3
total energy: -33.362 eV for the cell shown


Compound: HoSbN2O
Source: the Open Quantum Materials Database
Functional: GGA-PBE
Structure: optimized geometry

Cell: 7.7912 5.5573 5.7639 Å, 90.00 90.00 90.00°
Element x y z (fractional)
N1 0.0000 0.3733 0.4450
Sb1 0.2457 0.7627 0.0007
O1 0.6896 0.4444 0.1963
Sb2 0.2457 0.2373 0.5007
O2 0.3104 0.5556 0.6963
N2 0.8003 0.0720 0.8134
Ho1 0.5000 0.2542 0.9361
N3 0.0000 0.6267 0.9450
Ho2 0.0000 0.7629 0.5570
O3 0.3104 0.4444 0.1963
N4 0.8003 0.9280 0.3134
Ho3 0.5000 0.7458 0.4361
Ho4 0.0000 0.2371 0.0570
O4 0.6896 0.5556 0.6963
Sb3 0.7543 0.2373 0.5007
Sb4 0.7543 0.7627 0.0007
N5 0.5000 0.8509 0.0415
N6 0.5000 0.1491 0.5415
N7 0.1997 0.0720 0.8134
N8 0.1997 0.9280 0.3134

## Properties
symmetry: Pmc2_1, No. 26
mass density: 8.80 g/cm3
total energy: -140.931 eV for the cell shown


Compound: HoSbN2O
Source: the Open Quantum Materials Database
Functional: GGA-PBE
Structure: optimized geometry

Cell: 8.0827 5.4602 5.6743 Å, 90.00 90.00 90.00°
Element x y z (fractional)
Sb1 0.2500 0.2500 0.4760
O1 0.0000 0.1266 0.4332
Ho1 0.0000 0.2762 0.0382
N1 0.1870 0.5538 0.2766
Sb2 0.2500 0.7500 0.9760
N2 0.6868 0.0536 0.1757
N3 0.3132 0.9464 0.6757
Ho2 0.5000 0.2235 0.9138
O2 0.5000 0.6264 0.0187
O3 0.0000 0.8734 0.9332
N4 0.1870 0.4462 0.7766
N5 0.8130 0.5538 0.2766
N6 0.8130 0.4462 0.7766
Ho3 0.0000 0.7238 0.5382
N7 0.3132 0.0536 0.1757
Sb3 0.7500 0.7500 0.9760
Sb4 0.7500 0.2500 0.4760
Ho4 0.5000 0.7765 0.4138
N8 0.6868 0.9464 0.6757
O4 0.5000 0.3736 0.5187

## Properties
symmetry: Pnma, No. 62
mass density: 8.77 g/cm3
total energy: -141.091 eV for the cell shown


Compound: HoSbNO
Source: the Open Quantum Materials Database
Functional: GGA-PBE
Structure: optimized geometry

Cell: 6.7436 7.2533 5.4643 Å, 90.00 90.00 90.00°
Element x y z (fractional)
N1 0.9116 0.8842 0.0570
Ho1 0.9138 0.8498 0.4773
O1 0.4404 0.4162 0.6863
O2 0.9404 0.5838 0.6863
Sb1 0.8767 0.3234 0.4818
N2 0.5884 0.8842 0.5570
N3 0.4116 0.1158 0.0570
Ho2 0.0862 0.1502 0.9773
Sb2 0.6233 0.3234 0.9818
N4 0.0884 0.1158 0.5570
Ho3 0.5862 0.8498 0.9773
Sb3 0.1233 0.6766 0.9818
Sb4 0.3767 0.6766 0.4818
O3 0.0596 0.4162 0.1863
Ho4 0.4138 0.1502 0.4773
O4 0.5596 0.5838 0.1863

## Properties
symmetry: Pca2_1, No. 29
mass density: 7.87 g/cm3
excess energy over the best structure of this formula in the dataset: 0.34 eV/f.u.